No. 1
# MoRh3W PBEsol relaxed
# Energy relative to the elements, meV/atom: 1658.5
# E, eV/cell: -41.698
data_MoRh3W
_symmetry_space_group_name_H-M 'P m -3 m'
_symmetry_Int_Tables_number 221
_symmetry_space_group_name_Hall '-P 4 2 3'
_cell_length_a 4.597
_cell_length_b 4.597
_cell_length_c 4.597
_cell_angle_alpha 90.00
_cell_angle_beta 90.00
_cell_angle_gamma 90.00
loop_
_atom_site_label
_atom_site_type_symbol
_atom_site_fract_x
_atom_site_fract_y
_atom_site_fract_z
_atom_site_occupancy
Mo1 Mo 0.000 0.000 0.000 1
Rh1 Rh 0.000 0.500 0.500 1
W1 W 0.500 0.500 0.500 1

---

No. 2
# MoRhW2 PBEsol relaxed
# Energy relative to the elements, meV/atom: 231.1
# E, eV/cell: -186.388
data_MoRhW2
_symmetry_space_group_name_H-M 'F m -3 m'
_symmetry_Int_Tables_number 225
_symmetry_space_group_name_Hall '-F 4 2 3'
_cell_length_a 6.233
_cell_length_b 6.233
_cell_length_c 6.233
_cell_angle_alpha 90.00
_cell_angle_beta 90.00
_cell_angle_gamma 90.00
loop_
_atom_site_label
_atom_site_type_symbol
_atom_site_fract_x
_atom_site_fract_y
_atom_site_fract_z
_atom_site_occupancy
Mo1 Mo 0.000 0.000 0.000 1
Rh1 Rh 0.000 0.000 0.500 1
W1 W 0.250 0.250 0.250 1

---

No. 3
# MoRhW2 PBEsol relaxed
# Energy relative to the elements, meV/atom: 126.7
# E, eV/cell: -94.029
data_MoRhW2
_symmetry_space_group_name_H-M 'C 1 m 1'
_symmetry_Int_Tables_number 8
_symmetry_space_group_name_Hall 'C -2y'
_cell_length_a 9.267
_cell_length_b 2.704
_cell_length_c 4.885
_cell_angle_alpha 90.00
_cell_angle_beta 99.04
_cell_angle_gamma 90.00
loop_
_atom_site_label
_atom_site_type_symbol
_atom_site_fract_x
_atom_site_fract_y
_atom_site_fract_z
_atom_site_occupancy
Mo1 Mo 0.000 0.000 0.000 1
Rh1 Rh 0.240 0.500 0.244 1
W1 W 0.239 0.000 0.745 1
W2 W 0.480 0.000 0.485 1

---

No. 4
# MoRh2W PBEsol relaxed
# Energy relative to the elements, meV/atom: -191.2
# E, eV/cell: -42.617
data_MoRh2W
_symmetry_space_group_name_H-M 'P m m m'
_symmetry_Int_Tables_number 47
_symmetry_space_group_name_Hall '-P 2 2'
_cell_length_a 2.717
_cell_length_b 3.874
_cell_length_c 5.444
_cell_angle_alpha 90.00
_cell_angle_beta 90.00
_cell_angle_gamma 90.00
loop_
_atom_site_label
_atom_site_type_symbol
_atom_site_fract_x
_atom_site_fract_y
_atom_site_fract_z
_atom_site_occupancy
Mo1 Mo 0.000 0.000 0.000 1
Rh1 Rh 0.500 0.500 0.250 1
W1 W 0.000 0.000 0.500 1

---

No. 5
# MoRh2W PBEsol relaxed
# Energy relative to the elements, meV/atom: -194.7
# E, eV/cell: -85.262
data_MoRh2W
_symmetry_space_group_name_H-M 'I 4/m m m'
_symmetry_Int_Tables_number 139
_symmetry_space_group_name_Hall '-I 4 2'
_cell_length_a 3.844
_cell_length_b 3.844
_cell_length_c 7.752
_cell_angle_alpha 90.00
_cell_angle_beta 90.00
_cell_angle_gamma 90.00
loop_
_atom_site_label
_atom_site_type_symbol
_atom_site_fract_x
_atom_site_fract_y
_atom_site_fract_z
_atom_site_occupancy
Mo1 Mo 0.000 0.000 0.000 1
Rh1 Rh 0.000 0.500 0.250 1
W1 W 0.000 0.000 0.500 1

---

No. 6
# MoRh2W PBEsol relaxed
# Energy relative to the elements, meV/atom: -192.6
# E, eV/cell: -85.246
data_MoRh2W
_symmetry_space_group_name_H-M 'C m m m'
_symmetry_Int_Tables_number 65
_symmetry_space_group_name_Hall '-C 2 2'
_cell_length_a 5.437
_cell_length_b 7.749
_cell_length_c 2.720
_cell_angle_alpha 90.00
_cell_angle_beta 90.00
_cell_angle_gamma 90.00
loop_
_atom_site_label
_atom_site_type_symbol
_atom_site_fract_x
_atom_site_fract_y
_atom_site_fract_z
_atom_site_occupancy
Mo1 Mo 0.000 0.000 0.000 1
Rh1 Rh 0.250 0.250 0.500 1
W1 W 0.000 0.500 0.000 1

---

No. 7
# ZnMoRh PBEsol relaxed
# Energy relative to the elements, meV/atom: -161.7
# E, eV/cell: -43.947
data_ZnMoRh
_symmetry_space_group_name_H-M 'I 4 m m'
_symmetry_Int_Tables_number 107
_symmetry_space_group_name_Hall 'I 4 -2'
_cell_length_a 2.793
_cell_length_b 2.793
_cell_length_c 10.678
_cell_angle_alpha 90.00
_cell_angle_beta 90.00
_cell_angle_gamma 90.00
loop_
_atom_site_label
_atom_site_type_symbol
_atom_site_fract_x
_atom_site_fract_y
_atom_site_fract_z
_atom_site_occupancy
Zn1 Zn 0.000 0.000 0.000 1
Mo1 Mo 0.000 0.000 0.324 1
Rh1 Rh 0.000 0.000 0.660 1

---

No. 8
# ZnMo2Rh PBEsol relaxed
# Energy relative to the elements, meV/atom: -50.7
# E, eV/cell: -66.918
data_ZnMo2Rh
_symmetry_space_group_name_H-M 'I 4/m m m'
_symmetry_Int_Tables_number 139
_symmetry_space_group_name_Hall '-I 4 2'
_cell_length_a 3.649
_cell_length_b 3.649
_cell_length_c 8.521
_cell_angle_alpha 90.00
_cell_angle_beta 90.00
_cell_angle_gamma 90.00
loop_
_atom_site_label
_atom_site_type_symbol
_atom_site_fract_x
_atom_site_fract_y
_atom_site_fract_z
_atom_site_occupancy
Zn1 Zn 0.000 0.000 0.000 1
Mo1 Mo 0.000 0.500 0.250 1
Rh1 Rh 0.000 0.000 0.500 1

---

No. 9
# ZnMo2Rh PBEsol relaxed
# Energy relative to the elements, meV/atom: 6.3
# E, eV/cell: -33.231
data_ZnMo2Rh
_symmetry_space_group_name_H-M 'P 4 m m'
_symmetry_Int_Tables_number 99
_symmetry_space_group_name_Hall 'P 4 -2'
_cell_length_a 3.159
_cell_length_b 3.159
_cell_length_c 5.771
_cell_angle_alpha 90.00
_cell_angle_beta 90.00
_cell_angle_gamma 90.00
loop_
_atom_site_label
_atom_site_type_symbol
_atom_site_fract_x
_atom_site_fract_y
_atom_site_fract_z
_atom_site_occupancy
Zn1 Zn 0.000 0.000 0.000 1
Mo1 Mo 0.000 0.000 0.494 1
Mo2 Mo 0.500 0.500 0.261 1
Rh1 Rh 0.500 0.500 0.777 1

---

No. 10
# ZnMoRh3 PBEsol relaxed
# Energy relative to the elements, meV/atom: 1304.7
# E, eV/cell: -31.242
data_ZnMoRh3
_symmetry_space_group_name_H-M 'P m -3 m'
_symmetry_Int_Tables_number 221
_symmetry_space_group_name_Hall '-P 4 2 3'
_cell_length_a 4.358
_cell_length_b 4.358
_cell_length_c 4.358
_cell_angle_alpha 90.00
_cell_angle_beta 90.00
_cell_angle_gamma 90.00
loop_
_atom_site_label
_atom_site_type_symbol
_atom_site_fract_x
_atom_site_fract_y
_atom_site_fract_z
_atom_site_occupancy
Zn1 Zn 0.000 0.000 0.000 1
Mo1 Mo 0.500 0.500 0.500 1
Rh1 Rh 0.000 0.000 0.500 1

---

No. 11
# ZrMoRh2 PBEsol relaxed
# Energy relative to the elements, meV/atom: -353.9
# E, eV/cell: -38.550
data_ZrMoRh2
_symmetry_space_group_name_H-M 'P 4/m m m'
_symmetry_Int_Tables_number 123
_symmetry_space_group_name_Hall '-P 4 2'
_cell_length_a 4.011
_cell_length_b 4.011
_cell_length_c 3.846
_cell_angle_alpha 90.00
_cell_angle_beta 90.00
_cell_angle_gamma 90.00
loop_
_atom_site_label
_atom_site_type_symbol
_atom_site_fract_x
_atom_site_fract_y
_atom_site_fract_z
_atom_site_occupancy
Zr1 Zr 0.000 0.000 0.000 1
Mo1 Mo 0.500 0.500 0.000 1
Rh1 Rh 0.000 0.500 0.500 1

---

No. 12
# ZrMo2Rh PBEsol relaxed
# Energy relative to the elements, meV/atom: 42.4
# E, eV/cell: -40.594
data_ZrMo2Rh
_symmetry_space_group_name_H-M 'P 4/m m m'
_symmetry_Int_Tables_number 123
_symmetry_space_group_name_Hall '-P 4 2'
_cell_length_a 2.735
_cell_length_b 2.735
_cell_length_c 8.639
_cell_angle_alpha 90.00
_cell_angle_beta 90.00
_cell_angle_gamma 90.00
loop_
_atom_site_label
_atom_site_type_symbol
_atom_site_fract_x
_atom_site_fract_y
_atom_site_fract_z
_atom_site_occupancy
Zr1 Zr 0.000 0.000 0.000 1
Mo1 Mo 0.500 0.500 0.279 1
Rh1 Rh 0.000 0.000 0.500 1

---

No. 13
# ZrMo2Rh PBEsol relaxed
# Energy relative to the elements, meV/atom: -72.5
# E, eV/cell: -41.054
data_ZrMo2Rh
_symmetry_space_group_name_H-M 'P 1 m 1'
_symmetry_Int_Tables_number 6
_symmetry_space_group_name_Hall 'P -2y'
_cell_length_a 2.790
_cell_length_b 4.373
_cell_length_c 5.342
_cell_angle_alpha 90.00
_cell_angle_beta 99.99
_cell_angle_gamma 90.00
loop_
_atom_site_label
_atom_site_type_symbol
_atom_site_fract_x
_atom_site_fract_y
_atom_site_fract_z
_atom_site_occupancy
Zr1 Zr 0.000 0.000 0.000 1
Mo1 Mo 0.538 0.000 0.490 1
Mo2 Mo 0.753 0.500 0.277 1
Rh1 Rh 0.279 0.500 0.758 1